Record 1
Bi2BO PBE optimized geometry; crystal system = tetragonal; E_tot = -4.58 eV per atom; ΔE_f (raw) = 0.266 eV per atom; SG = I-42d; energy above the lowest structure with this stoichiometry = 0.000 eV per atom
1.0
-2.3806 4.7354 -1.2378
-1.3082 0.7108 5.2352
3.3472 5.5711 2.9093
Bi B O
4 2 2
Cartesian
-0.2594 2.3911 3.8545
1.1375 6.2149 3.6392
-0.8336 4.4791 0.5982
-0.7278 8.9494 5.7215
0.0973 4.5025 5.0716
-1.8444 2.7231 1.9987
-0.4389 6.5148 1.8351
0.0000 0.0000 0.0000

***

Record 2
NaSc2Bi PBE optimized geometry; crystal system = tetragonal; E_tot = -4.32 eV per atom; SG = I-42d; formation energy from the elements = 0.142 eV per atom
1.0
-7.1822 -3.6869 2.2077
3.7806 -7.4653 -0.1678
-0.9198 -5.2499 4.1055
Sc Bi Na
4 2 2
Cartesian
-4.3883 -4.6229 2.4289
1.3772 -6.3662 1.1538
-2.0402 -7.9718 3.8474
-3.5915 -13.8432 4.8607
-4.9014 -7.2564 3.6666
0.0000 0.0000 0.0000
-1.7008 -5.5761 1.0199
0.5800 -9.1456 2.4788

***

Record 3
AcTmRh PBE optimized geometry; crystal system = monoclinic; E_tot = -5.88 eV per atom; SG = P2_1/c; formation energy from the elements = -0.567 eV per atom; energy above the lowest structure with this stoichiometry = 0.000 eV per atom
1.0
-3.9893 -1.9100 4.3750
-5.2502 -2.3857 -5.8288
6.1981 -5.1616 3.3981
Rh Ac Tm
4 4 4
Cartesian
0.8753 -5.8134 6.6621
-3.9166 -3.6440 -4.7177
-3.2551 -3.6623 0.3007
0.2137 -5.7950 1.6437
-1.1155 -5.4931 4.3942
-1.9259 -3.9643 -2.4498
-5.7802 -3.5978 -1.3811
2.7388 -5.8595 3.3255
-3.7179 -2.8542 2.9372
-2.3975 -6.2226 0.7935
-0.6438 -3.2347 1.1509
0.6766 -6.6031 -0.9928